6
Lattice="2.6606 0.0000 0.0000 0.0000 3.9210 0.0000 0.0000 0.0000 7.7441" Properties=species:S:1:pos:R:3 comment="PBEsol Li2Pt, optimized geometry" space_group="No. 71" total_magnetization_mub_per_fu=0.0 formation_energy_ev_per_atom=-0.47 pbc="T T T"
Li 0.0000 0.0000 1.2382
Li 0.0000 0.0000 6.5059
Li 1.3303 1.9605 2.6338
Li 1.3303 1.9605 5.1102
Pt 0.0000 0.0000 3.8720
Pt 1.3303 1.9605 0.0000

***

9
Lattice="-4.1080 4.1080 1.9417 4.1080 -4.1080 1.9417 4.1080 4.1080 -1.9417" Properties=species:S:1:pos:R:3 comment="PBEsol LiPt8, optimized geometry" space_group="No. 139" total_magnetization_mub_per_fu=0.0 formation_energy_ev_per_atom=-0.17 pbc="T T T"
Li 0.0000 0.0000 0.0000
Pt 2.6942 0.0000 0.0000
Pt 5.5219 0.0000 0.0000
Pt 0.0000 2.6942 0.0000
Pt 2.7709 2.7709 0.0000
Pt 1.3371 -1.3371 1.9417
Pt -1.3371 1.3371 1.9417
Pt 1.3371 1.3371 1.9417
Pt 0.0000 5.5219 0.0000

***

4
Lattice="3.8263 0.0000 0.0000 0.0000 3.8263 0.0000 0.0000 0.0000 3.8263" Properties=species:S:1:pos:R:3 comment="PBEsol LiPt3, optimized geometry" space_group="No. 221" total_magnetization_mub_per_fu=0.0 formation_energy_ev_per_atom=-0.39 pbc="T T T"
Li 0.0000 0.0000 0.0000
Pt 0.0000 1.9131 1.9131
Pt 1.9131 0.0000 1.9131
Pt 1.9131 1.9131 0.0000

***

8
Lattice="5.4192 0.0000 0.0000 0.0000 7.6808 0.0000 0.0000 0.0000 2.7212" Properties=species:S:1:pos:R:3 comment="PBEsol LiPt3, optimized geometry" space_group="No. 65" total_magnetization_mub_per_fu=0.0 formation_energy_ev_per_atom=-0.42 pbc="T T T"
Li 0.0000 0.0000 0.0000
Li 2.7096 3.8404 0.0000
Pt 0.0000 3.8404 0.0000
Pt 1.3548 1.9202 1.3606
Pt 1.3548 5.7606 1.3606
Pt 2.7096 0.0000 0.0000
Pt 4.0644 1.9202 1.3606
Pt 4.0644 5.7606 1.3606

***

3
Lattice="4.1675 0.0000 0.0000 -2.0837 3.6091 0.0000 0.0000 0.0000 2.6283" Properties=species:S:1:pos:R:3 comment="PBEsol Li2Pt, optimized geometry" space_group="No. 191" total_magnetization_mub_per_fu=0.0 formation_energy_ev_per_atom=-0.48 pbc="T T T"
Li 0.0000 2.4061 0.0000
Li 2.0837 1.2030 0.0000
Pt 0.0000 0.0000 1.3142

***

8
Lattice="9.8356 0.0000 0.0000 0.0000 2.7085 0.0000 -2.1477 0.0000 4.0635" Properties=species:S:1:pos:R:3 comment="PBEsol LiPt, optimized geometry" space_group="No. 12" total_magnetization_mub_per_fu=0.0 formation_energy_ev_per_atom=-0.54 pbc="T T T"
Li 0.1696 0.0000 1.8560
Li 2.6006 1.3543 2.2075
Li 5.0873 1.3543 1.8560
Li 7.5183 0.0000 2.2075
Pt -0.8271 1.3543 3.9893
Pt 3.5972 0.0000 0.0742
Pt 4.0907 0.0000 3.9893
Pt 8.5150 1.3543 0.0742

***

15
Lattice="2.7310 0.0000 0.0000 -1.3655 2.3652 0.0000 0.0000 0.0000 32.9067" Properties=species:S:1:pos:R:3 comment="PBEsol Li3Pt2, optimized geometry" space_group="No. 166" total_magnetization_mub_per_fu=0.0 formation_energy_ev_per_atom=-0.45 pbc="T T T"
Li 0.0000 0.0000 0.0000
Li 0.0000 0.0000 6.8001
Li 0.0000 0.0000 26.1066
Li 0.0000 1.5768 15.1377
Li 0.0000 1.5768 21.9378
Li 0.0000 1.5768 28.7379
Li 1.3655 0.7884 4.1688
Li 1.3655 0.7884 10.9689
Li 1.3655 0.7884 17.7690
Pt 0.0000 0.0000 13.0780
Pt 0.0000 0.0000 19.8287
Pt 0.0000 1.5768 2.1091
Pt 0.0000 1.5768 8.8598
Pt 1.3655 0.7884 24.0469
Pt 1.3655 0.7884 30.7976

***

6
Lattice="4.8080 0.0000 0.0000 -2.4040 4.1638 0.0000 0.0000 0.0000 4.4528" Properties=species:S:1:pos:R:3 comment="PBEsol Li5Pt, optimized geometry" space_group="No. 189" total_magnetization_mub_per_fu=0.0 formation_energy_ev_per_atom=-0.24 pbc="T T T"
Li -1.6723 2.8965 0.0000
Li 0.7317 1.2673 0.0000
Li 0.0000 2.7759 2.2264
Li 2.4040 1.3879 2.2264
Li 3.3446 0.0000 0.0000
Pt 0.0000 0.0000 2.2264

***

4
Lattice="4.1279 0.0000 0.0000 0.0000 4.1279 0.0000 0.0000 0.0000 4.1279" Properties=species:S:1:pos:R:3 comment="PBEsol LiPt3, optimized geometry" space_group="No. 221" total_magnetization_mub_per_fu=0.0 formation_energy_ev_per_atom=1.20 pbc="T T T"
Li 0.0000 0.0000 0.0000
Pt 0.0000 0.0000 2.0639
Pt 0.0000 2.0639 0.0000
Pt 2.0639 0.0000 0.0000

***

12
Lattice="4.0735 0.0000 0.0000 0.0000 11.0840 0.0000 0.0000 0.0000 4.0544" Properties=species:S:1:pos:R:3 comment="PBEsol Li5Pt, optimized geometry" space_group="No. 65" total_magnetization_mub_per_fu=0.0 formation_energy_ev_per_atom=-0.24 pbc="T T T"
Li 0.0000 0.0000 0.0000
Li 0.0000 1.6988 2.0272
Li 0.0000 3.9132 0.0000
Li 0.0000 7.1708 0.0000
Li 0.0000 9.3851 2.0272
Li 2.0367 1.6288 0.0000
Li 2.0367 3.8432 2.0272
Li 2.0367 5.5420 0.0000
Li 2.0367 7.2408 2.0272
Li 2.0367 9.4552 0.0000
Pt 0.0000 5.5420 2.0272
Pt 2.0367 0.0000 2.0272

***

12
Lattice="3.8512 0.0000 0.0000 0.0000 11.6157 0.0000 0.0000 0.0000 3.8415" Properties=species:S:1:pos:R:3 comment="PBEsol LiPt5, optimized geometry" space_group="No. 65" total_magnetization_mub_per_fu=0.0 formation_energy_ev_per_atom=-0.26 pbc="T T T"
Li 0.0000 0.0000 0.0000
Li 1.9256 5.8078 0.0000
Pt 0.0000 1.9247 1.9208
Pt 0.0000 3.9483 0.0000
Pt 0.0000 5.8078 1.9208
Pt 0.0000 7.6674 0.0000
Pt 0.0000 9.6910 1.9208
Pt 1.9256 0.0000 1.9208
Pt 1.9256 1.8595 0.0000
Pt 1.9256 3.8832 1.9208
Pt 1.9256 7.7325 1.9208
Pt 1.9256 9.7561 0.0000

***

6
Lattice="0.0000 3.6709 3.6709 3.6709 0.0000 3.6709 3.6709 3.6709 0.0000" Properties=species:S:1:pos:R:3 comment="PBEsol LiPt2, optimized geometry" space_group="No. 227" total_magnetization_mub_per_fu=0.0 formation_energy_ev_per_atom=-0.37 pbc="T T T"
Li 0.9177 0.9177 0.9177
Li 6.4242 6.4242 6.4242
Pt 3.6709 1.8355 1.8355
Pt 1.8355 3.6709 1.8355
Pt 1.8355 1.8355 3.6709
Pt 3.6709 3.6709 3.6709